No. 1
Density functional theory data (PBE) for InFeCoCu after structural relaxation.

a = 6.023 Å, b = 6.023 Å, c = 6.023 Å
α = 90.00°, β = 90.00°, γ = 90.00°
Space group F-43m (No. 216)
One atom of each set of equivalent atoms:
In: 0.000 0.000 0.000
Fe: 0.000 0.000 0.500
Co: 0.250 0.250 0.750
Cu: 0.250 0.250 0.250

Results
DFT total energy ... -5.3118 eV per atom
ΔE to the lowest computed polymorph ... 0.0 meV per atom

***

No. 2
Density functional theory data (PBE) for Ba3Zn2As4 after structural relaxation.

a = 17.060 Å, b = 4.514 Å, c = 7.306 Å
α = 90.00°, β = 113.01°, γ = 90.00°
Space group C2/m (No. 12)
One atom of each set of equivalent atoms:
Ba: 0.000 0.000 0.000
Ba: 0.144 0.000 0.586
Zn: 0.171 0.500 0.963
As: 0.011 0.500 0.681
As: 0.206 0.000 0.164

Results
DFT total energy ... -3.8458 eV per atom

***

No. 3
Density functional theory data (PBE) for KCoPdS3 after structural relaxation.

a = 7.796 Å, b = 3.526 Å, c = 9.328 Å
α = 90.00°, β = 107.25°, γ = 90.00°
Space group P2_1/m (No. 11)
One atom of each set of equivalent atoms:
K: 0.216 0.250 0.255
Co: 0.347 0.750 0.861
Pd: 0.109 0.250 0.589
S: 0.156 0.250 0.860
S: 0.304 0.750 0.608
S: 0.459 0.750 0.114

Results
DFT total energy ... -4.7457 eV per atom